## Re4HgTe (PBE-GGA)

Data for an optimized crystal structure of Re4HgTe. Values from VASP.

Structure (Quantum ESPRESSO input):
```
&SYSTEM
  ibrav = 0, nat = 6, ntyp = 3
/
ATOMIC_SPECIES
Re 186.21 Re.upf
Hg 200.59 Hg.upf
Te 127.60 Te.upf
CELL_PARAMETERS angstrom
0.000 3.783 3.783
3.783 0.000 3.783
3.783 3.783 0.000
ATOMIC_POSITIONS angstrom
Re 0.945 0.945 0.945
Re 2.838 2.838 0.945
Re 2.838 0.945 2.838
Re 0.945 2.838 2.838
Hg 3.783 3.783 3.783
Te 5.675 5.675 5.675
```

Values from the calculation:
ρ in Mg/m³: 16.5
Space group: No. 216
Energy relative to the elements, uncorrected in eV/atom: 0.905

=====

## Re3HgTe (PBE-GGA)

Data for an optimized crystal structure of Re3HgTe. Values from VASP.

Structure (Quantum ESPRESSO input):
```
&SYSTEM
  ibrav = 0, nat = 5, ntyp = 3
/
ATOMIC_SPECIES
Re 186.21 Re.upf
Hg 200.59 Hg.upf
Te 127.60 Te.upf
CELL_PARAMETERS angstrom
4.850 0.000 0.000
0.000 4.850 0.000
0.000 0.000 4.850
ATOMIC_POSITIONS angstrom
Re 0.000 0.000 2.425
Re 0.000 2.425 0.000
Re 2.425 0.000 0.000
Hg 2.425 2.425 2.425
Te 0.000 0.000 0.000
```

Values from the calculation:
ρ in Mg/m³: 12.9
Energy above the lowest structure with this stoichiometry in meV per atom: 0
Space group: No. 221
Energy relative to the elements, uncorrected in eV/atom: 2.487

=====

## ReHgTe (PBE-GGA)

Data for an optimized crystal structure of ReHgTe. Values from VASP.

Structure (Quantum ESPRESSO input):
```
&SYSTEM
  ibrav = 0, nat = 3, ntyp = 3
/
ATOMIC_SPECIES
Re 186.21 Re.upf
Hg 200.59 Hg.upf
Te 127.60 Te.upf
CELL_PARAMETERS angstrom
0.000 3.243 3.243
3.243 0.000 3.243
3.243 3.243 0.000
ATOMIC_POSITIONS angstrom
Re 0.000 0.000 0.000
Hg 1.621 1.621 1.621
Te 4.864 4.864 4.864
```

Values from the calculation:
ρ in Mg/m³: 12.5
Energy above the lowest structure with this stoichiometry in meV per atom: 301
Space group: No. 216
Energy relative to the elements, uncorrected in eV/atom: 0.852

=====

## ReHgTe (PBE-GGA)

Data for an optimized crystal structure of ReHgTe. Values from VASP.

Structure (Quantum ESPRESSO input):
```
&SYSTEM
  ibrav = 0, nat = 3, ntyp = 3
/
ATOMIC_SPECIES
Re 186.21 Re.upf
Hg 200.59 Hg.upf
Te 127.60 Te.upf
CELL_PARAMETERS angstrom
0.000 2.657 8.139
1.566 0.000 8.139
1.566 2.657 0.000
ATOMIC_POSITIONS angstrom
Re 0.000 0.000 0.000
Hg 1.566 2.657 5.695
Te 1.566 2.657 10.285
```

Values from the calculation:
ρ in Mg/m³: 12.6
Energy above the lowest structure with this stoichiometry in meV per atom: 281
Space group: No. 42
Energy relative to the elements, uncorrected in eV/atom: 0.832

=====

## ReHgTe3 (PBE-GGA)

Data for an optimized crystal structure of ReHgTe3. Values from VASP.

Structure (Quantum ESPRESSO input):
```
&SYSTEM
  ibrav = 0, nat = 5, ntyp = 3
/
ATOMIC_SPECIES
Re 186.21 Re.upf
Hg 200.59 Hg.upf
Te 127.60 Te.upf
CELL_PARAMETERS angstrom
5.569 0.000 0.000
0.000 5.569 0.000
0.000 0.000 5.569
ATOMIC_POSITIONS angstrom
Re 0.000 0.000 0.000
Hg 2.784 2.784 2.784
Te 0.000 2.784 2.784
Te 2.784 0.000 2.784
Te 2.784 2.784 0.000
```

Values from the calculation:
ρ in Mg/m³: 7.4
Energy above the lowest structure with this stoichiometry in meV per atom: 1106
Space group: No. 221
Energy relative to the elements, uncorrected in eV/atom: 1.707

=====

## ReHgTe (PBE-GGA)

Data for an optimized crystal structure of ReHgTe. Values from VASP.

Structure (Quantum ESPRESSO input):
```
&SYSTEM
  ibrav = 0, nat = 3, ntyp = 3
/
ATOMIC_SPECIES
Re 186.21 Re.upf
Hg 200.59 Hg.upf
Te 127.60 Te.upf
CELL_PARAMETERS angstrom
4.921 0.000 0.000
-2.461 4.262 0.000
0.000 0.000 2.917
ATOMIC_POSITIONS angstrom
Re 0.000 0.000 0.000
Hg 0.000 2.841 1.458
Te 2.461 1.421 0.000
```

Values from the calculation:
ρ in Mg/m³: 14.0
Energy above the lowest structure with this stoichiometry in meV per atom: 452
Space group: No. 187
Energy relative to the elements, uncorrected in eV/atom: 1.003

=====

## ReHgTe3 (PBE-GGA)

Data for an optimized crystal structure of ReHgTe3. Values from VASP.

Structure (Quantum ESPRESSO input):
```
&SYSTEM
  ibrav = 0, nat = 5, ntyp = 3
/
ATOMIC_SPECIES
Re 186.21 Re.upf
Hg 200.59 Hg.upf
Te 127.60 Te.upf
CELL_PARAMETERS angstrom
5.310 0.000 0.000
0.000 5.310 0.000
0.000 0.000 5.310
ATOMIC_POSITIONS angstrom
Re 0.000 0.000 0.000
Hg 2.655 2.655 2.655
Te 0.000 0.000 2.655
Te 0.000 2.655 0.000
Te 2.655 0.000 0.000
```

Values from the calculation:
ρ in Mg/m³: 8.5
Energy above the lowest structure with this stoichiometry in meV per atom: 0
Space group: No. 221
Energy relative to the elements, uncorrected in eV/atom: 0.601

=====

## ReHgTe (PBE-GGA)

Data for an optimized crystal structure of ReHgTe. Values from VASP.

Structure (Quantum ESPRESSO input):
```
&SYSTEM
  ibrav = 0, nat = 3, ntyp = 3
/
ATOMIC_SPECIES
Re 186.21 Re.upf
Hg 200.59 Hg.upf
Te 127.60 Te.upf
CELL_PARAMETERS angstrom
-1.599 1.599 6.774
1.599 -1.599 6.774
1.599 1.599 -6.774
ATOMIC_POSITIONS angstrom
Re 0.000 0.000 0.000
Hg 0.000 0.000 8.694
Te 0.000 0.000 5.263
```

Values from the calculation:
ρ in Mg/m³: 12.3
Energy above the lowest structure with this stoichiometry in meV per atom: 1
Space group: No. 107
Energy relative to the elements, uncorrected in eV/atom: 0.552